Entry 1:
# TlIBr2

A relaxed TlIBr2 crystal (GGA-PBE, Alexandria via LeMat-Bulk).

abc: 4.288 4.288 31.622
angles: 90.00 90.00 120.00
Element x y z (fractional)
Tl1 0.000 0.000 0.000
Tl2 0.333 0.667 0.667
Tl3 0.667 0.333 0.333
I1 0.000 0.000 0.500
I2 0.333 0.667 0.167
I3 0.667 0.333 0.833
Br1 0.000 0.000 0.085
Br2 0.000 0.000 0.915
Br3 0.333 0.667 0.582
Br4 0.333 0.667 0.751
Br5 0.667 0.333 0.249
Br6 0.667 0.333 0.418

Values from the calculation:
Formation energy without anion corrections = 0.13 eV per atom
D(E_F) = 4.3 states/eV/f.u.
Final energy = -1.69 eV per atom
SG = No. 166



Entry 2:
# ScBe5Cu7

A relaxed ScBe5Cu7 crystal (GGA-PBE, Alexandria via LeMat-Bulk).

abc: 6.103 6.103 6.103
angles: 137.12 97.83 97.53
Element x y z (fractional)
Sc1 0.000 0.000 0.000
Be1 0.500 0.497 0.503
Be2 0.500 0.997 0.003
Be3 0.769 0.269 0.500
Be4 0.994 0.497 0.997
Be5 0.994 0.997 0.497
Cu1 0.199 0.492 0.707
Cu2 0.221 0.721 0.500
Cu3 0.352 0.004 0.349
Cu4 0.352 0.352 0.000
Cu5 0.655 0.004 0.651
Cu6 0.655 0.655 0.000
Cu7 0.785 0.492 0.293

Values from the calculation:
Formation energy from the elements = -199 kJ/mol of formula units
D(E_F) = 3.8 states/eV/f.u.
Final energy = -4.28 eV per atom
SG = No. 44



Entry 3:
# LiCrAg2

A relaxed LiCrAg2 crystal (GGA-PBE, Alexandria via LeMat-Bulk).

abc: 2.956 2.956 26.995
angles: 90.00 90.00 120.00
Element x y z (fractional)
Li1 0.000 0.000 0.000
Li2 0.333 0.667 0.667
Li3 0.667 0.333 0.333
Cr1 0.000 0.000 0.500
Cr2 0.333 0.667 0.167
Cr3 0.667 0.333 0.833
Ag1 0.000 0.000 0.251
Ag2 0.000 0.000 0.749
Ag3 0.333 0.667 0.415
Ag4 0.333 0.667 0.918
Ag5 0.667 0.333 0.082
Ag6 0.667 0.333 0.585

Values from the calculation:
Formation energy from the elements = 105 kJ/mol of formula units
D(E_F) = 1.9 states/eV/f.u.
Final energy = -4.04 eV per atom
SG = No. 166



Entry 4:
# Al8GaAg2

A relaxed Al8GaAg2 crystal (GGA-PBE, Alexandria via LeMat-Bulk).

abc: 6.897 6.897 5.176
angles: 99.46 99.46 65.26
Element x y z (fractional)
Al1 0.085 0.085 0.365
Al2 0.089 0.702 0.124
Al3 0.297 0.297 0.699
Al4 0.298 0.911 0.876
Al5 0.702 0.089 0.124
Al6 0.703 0.703 0.301
Al7 0.911 0.298 0.876
Al8 0.915 0.915 0.635
Ga1 0.500 0.500 0.000
Ag1 0.282 0.282 0.203
Ag2 0.718 0.718 0.797

Values from the calculation:
Formation energy from the elements = 209 kJ/mol of formula units
D(E_F) = 3.3 states/eV/f.u.
Final energy = -3.32 eV per atom
SG = No. 12



Entry 5:
# SrCdIn11

A relaxed SrCdIn11 crystal (GGA-PBE, Alexandria via LeMat-Bulk).

abc: 8.346 8.346 8.261
angles: 96.53 96.53 137.58
Element x y z (fractional)
Sr1 0.000 0.000 0.000
Cd1 0.500 0.500 0.500
In1 0.000 0.000 0.500
In2 0.000 0.500 0.000
In3 0.004 0.358 0.360
In4 0.291 0.498 0.789
In5 0.358 0.004 0.360
In6 0.498 0.291 0.789
In7 0.500 0.000 0.000
In8 0.502 0.709 0.211
In9 0.642 0.996 0.640
In10 0.709 0.502 0.211
In11 0.996 0.642 0.640

Values from the calculation:
Formation energy from the elements = -75 kJ/mol of formula units
D(E_F) = 5.0 states/eV/f.u.
Final energy = -2.58 eV per atom
SG = No. 12



Entry 6:
# VHgTe2

A relaxed VHgTe2 crystal (GGA-PBE, Alexandria via LeMat-Bulk).

abc: 4.177 4.177 6.025
angles: 90.00 90.00 90.00
Element x y z (fractional)
V1 0.000 0.000 0.000
Hg1 0.500 0.500 0.500
Te1 0.000 0.000 0.500
Te2 0.500 0.500 0.000

Values from the calculation:
Formation energy without anion corrections = 0.05 eV per atom
D(E_F) = 3.0 states/eV/f.u.
Final energy = -3.88 eV per atom
SG = No. 123



Entry 7:
# Tc3NiW

A relaxed Tc3NiW crystal (GGA-PBE, Alexandria via LeMat-Bulk).

abc: 4.353 4.353 4.353
angles: 90.00 90.00 90.00
Element x y z (fractional)
Tc1 0.000 0.000 0.500
Tc2 0.000 0.500 0.000
Tc3 0.500 0.000 0.000
Ni1 0.000 0.000 0.000
W1 0.500 0.500 0.500

Values from the calculation:
Formation energy from the elements = 732 kJ/mol of formula units
D(E_F) = 9.4 states/eV/f.u.
Final energy = -8.45 eV per atom
SG = No. 221



Entry 8:
# SrPuAu2

A relaxed SrPuAu2 crystal (GGA-PBE, Alexandria via LeMat-Bulk).

abc: 7.485 7.485 7.485
angles: 90.00 90.00 90.00
Element x y z (fractional)
Sr1 0.000 0.000 0.000
Sr2 0.000 0.500 0.500
Sr3 0.500 0.000 0.500
Sr4 0.500 0.500 0.000
Pu1 0.000 0.000 0.500
Pu2 0.000 0.500 0.000
Pu3 0.500 0.000 0.000
Pu4 0.500 0.500 0.500
Au1 0.250 0.250 0.250
Au2 0.250 0.250 0.750
Au3 0.250 0.750 0.250
Au4 0.250 0.750 0.750
Au5 0.750 0.250 0.250
Au6 0.750 0.250 0.750
Au7 0.750 0.750 0.250
Au8 0.750 0.750 0.750

Values from the calculation:
Formation energy from the elements = -186 kJ/mol of formula units
D(E_F) = 14.6 states/eV/f.u.
Final energy = -6.13 eV per atom
SG = No. 225



Entry 9:
# BaNaSr2Co

A relaxed BaNaSr2Co crystal (GGA-PBE, Alexandria via LeMat-Bulk).

abc: 5.956 5.956 5.987
angles: 90.00 90.00 90.00
Element x y z (fractional)
Ba1 0.000 0.000 0.000
Na1 0.500 0.500 0.000
Sr1 0.000 0.500 0.500
Sr2 0.500 0.000 0.500
Co1 0.000 0.000 0.500

Values from the calculation:
Formation energy from the elements = 95 kJ/mol of formula units
D(E_F) = 5.3 states/eV/f.u.
Final energy = -2.55 eV per atom
SG = No. 123



Entry 10:
# NpHgI4

A relaxed NpHgI4 crystal (GGA-PBE, Alexandria via LeMat-Bulk).

abc: 10.046 10.046 7.593
angles: 102.72 102.72 114.11
Element x y z (fractional)
Np1 0.073 0.927 0.750
Np2 0.927 0.073 0.250
Hg1 0.430 0.570 0.250
Hg2 0.570 0.430 0.750
I1 0.008 0.628 0.783
I2 0.113 0.231 0.680
I3 0.231 0.113 0.180
I4 0.372 0.992 0.717
I5 0.628 0.008 0.283
I6 0.769 0.887 0.820
I7 0.887 0.769 0.320
I8 0.992 0.372 0.217

Values from the calculation:
Formation energy without anion corrections = -0.61 eV per atom
D(E_F) = 8.2 states/eV/f.u.
Final energy = -3.85 eV per atom
SG = No. 15



Entry 11:
# Na2CaLaF8

A relaxed Na2CaLaF8 crystal (GGA-PBE, Alexandria via LeMat-Bulk).

abc: 4.069 5.379 8.070
angles: 90.00 90.00 90.00
Element x y z (fractional)
Na1 0.000 0.000 0.244
Na2 0.000 0.000 0.756
Ca1 0.500 0.500 0.000
La1 0.500 0.500 0.500
F1 0.000 0.254 0.500
F2 0.000 0.269 0.000
F3 0.000 0.731 0.000
F4 0.000 0.746 0.500
F5 0.500 0.257 0.247
F6 0.500 0.257 0.753
F7 0.500 0.743 0.247
F8 0.500 0.743 0.753

Values from the calculation:
Formation energy without anion corrections = -3.26 eV per atom
D(E_F) = 8.4 states/eV/f.u.
Final energy = -5.31 eV per atom
SG = No. 47



Entry 12:
# Th6Os2Se3S

A relaxed Th6Os2Se3S crystal (GGA-PBE, Alexandria via LeMat-Bulk).

abc: 7.212 7.212 7.528
angles: 99.18 99.18 119.91
Element x y z (fractional)
Th1 0.076 0.424 0.777
Th2 0.224 0.224 0.221
Th3 0.424 0.076 0.777
Th4 0.576 0.924 0.223
Th5 0.776 0.776 0.779
Th6 0.924 0.576 0.223
Os1 0.168 0.832 0.000
Os2 0.832 0.168 0.000
Se1 0.000 0.000 0.500
Se2 0.340 0.660 0.500
Se3 0.660 0.340 0.500
S1 0.500 0.500 0.000

Values from the calculation:
Formation energy without anion corrections = -1.24 eV per atom
D(E_F) = 9.0 states/eV/f.u.
Final energy = -8.04 eV per atom
SG = No. 12